Entry 1:
This record from the Alexandria database describes an optimized crystal structure of Ac3PmSi2. The functional is GGA-PBE.

M_tot (μB per atom): 0.00
ρ (g cm⁻³): 6.86
V (Å³/f.u.): 213.45

Lattice parameters (Å, degrees): 8.4580 8.4580 20.6723 90.00 90.00 120.00
Space group R-3c (No. 167, hexagonal axes)
Asymmetric unit:
Ac1 0.0000 0.2794 0.2500
Pm1 0.0000 0.0000 0.0000
Si1 0.0000 0.0000 0.1436

=====

Entry 2:
This record from the Alexandria database describes an optimized crystal structure of AcPm8Si6. The functional is GGA-PBE.

M_tot (μB per atom): 0.00
ρ (g cm⁻³): 5.76
V (Å³/f.u.): 448.05

Lattice parameters (Å, degrees): 8.0294 8.0294 24.0743 90.00 90.00 120.00
Space group R-3 (No. 148, hexagonal axes)
Asymmetric unit:
Ac1 0.0000 0.0000 0.0000
Pm1 0.0000 0.0000 0.3333
Pm2 0.0005 0.3260 0.1192
Si1 0.0010 0.6566 0.0726

=====

Entry 3:
This record from the Alexandria database describes an optimized crystal structure of Ac2PmSi2. The functional is GGA-PBE.

M_tot (μB per atom): 0.00
ρ (g cm⁻³): 7.19
V (Å³/f.u.): 151.34
ΔE to the lowest computed polymorph (eV/atom): 0.017

Lattice parameters (Å, degrees): 13.0572 4.5775 11.4260 90.00 117.57 90.00
Space group C2/m (No. 12)
Asymmetric unit:
Ac1 0.0148 0.0000 0.1897
Ac2 0.1805 0.0000 0.5914
Pm1 0.2280 0.5000 0.8705
Si1 0.0026 0.5000 0.3949
Si2 0.1067 0.5000 0.0502

=====

Entry 4:
This record from the Alexandria database describes an optimized crystal structure of AcPm6Si4. The functional is GGA-PBE.

M_tot (μB per atom): 0.00
ρ (g cm⁻³): 6.47
V (Å³/f.u.): 310.27

Lattice parameters (Å, degrees): 9.2641 9.2641 4.1745 90.00 90.00 120.00
Space group P-6m2 (No. 187)
Asymmetric unit:
Ac1 0.0000 0.0000 0.0000
Pm1 0.1973 0.3945 0.5000
Pm2 0.5408 0.0817 0.0000
Si1 0.3333 0.6667 0.0000
Si2 0.3385 0.1693 0.5000

=====

Entry 5:
This record from the Alexandria database describes an optimized crystal structure of AcPmSi4. The functional is GGA-PBE.

M_tot (μB per atom): 0.00
ρ (g cm⁻³): 5.89
V (Å³/f.u.): 136.46
ΔE to the lowest computed polymorph (eV/atom): 0.080

Lattice parameters (Å, degrees): 8.0164 15.6184 4.3595 90.00 90.00 90.00
Space group Pbam (No. 55)
Asymmetric unit:
Ac1 0.1284 0.1511 0.0000
Pm1 0.1354 0.4111 0.0000
Si1 0.0153 0.6947 0.5000
Si2 0.1162 0.9513 0.5000
Si3 0.1293 0.5478 0.5000
Si4 0.2130 0.8026 0.5000

=====

Entry 6:
This record from the Alexandria database describes an optimized crystal structure of AcPm3Si. The functional is GGA-PBE.

M_tot (μB per atom): 0.00
ρ (g cm⁻³): 6.23
V (Å³/f.u.): 183.82
ΔE to the lowest computed polymorph (eV/atom): 0.006

Lattice parameters (Å, degrees): 5.6859 5.6859 5.6859 90.00 90.00 90.00
Space group Pm-3m (No. 221)
Asymmetric unit:
Ac1 0.0000 0.0000 0.0000
Pm1 0.0000 0.5000 0.5000
Si1 0.5000 0.5000 0.5000

=====

Entry 7:
This record from the Alexandria database describes an optimized crystal structure of AcPm3Si3. The functional is GGA-PBE.

M_tot (μB per atom): 0.00
ρ (g cm⁻³): 5.75
V (Å³/f.u.): 215.55

Lattice parameters (Å, degrees): 9.1192 9.1192 17.9578 90.00 90.00 120.00
Space group R-3 (No. 148, hexagonal axes)
Asymmetric unit:
Ac1 0.0000 0.0000 0.1651
Pm1 0.0088 0.7170 0.5940
Si1 0.0074 0.6474 0.4241

=====

Entry 8:
This record from the Alexandria database describes an optimized crystal structure of Ac4PmSi2. The functional is GGA-PBE.

M_tot (μB per atom): 0.00
ρ (g cm⁻³): 7.25
V (Å³/f.u.): 254.18

Lattice parameters (Å, degrees): 5.3750 5.3750 30.4765 90.00 90.00 120.00
Space group R-3m (No. 166, hexagonal axes)
Asymmetric unit:
Ac1 0.0000 0.0000 0.1080
Ac2 0.0000 0.0000 0.2947
Pm1 0.0000 0.0000 0.5000
Si1 0.0000 0.0000 0.4010

=====

Entry 9:
This record from the Alexandria database describes an optimized crystal structure of AcPmSi4. The functional is GGA-PBE.

M_tot (μB per atom): 0.00
ρ (g cm⁻³): 6.39
V (Å³/f.u.): 125.84
ΔE to the lowest computed polymorph (eV/atom): 0.334

Lattice parameters (Å, degrees): 7.9548 7.9548 7.9548 90.00 90.00 90.00
Space group F-43m (No. 216)
Asymmetric unit:
Ac1 0.0000 0.0000 0.0000
Pm1 0.2500 0.2500 0.2500
Si1 0.1136 0.1136 0.6136

=====

Entry 10:
This record from the Alexandria database describes an optimized crystal structure of AcPm2Si. The functional is GGA-PBE.

M_tot (μB per atom): 0.00
ρ (g cm⁻³): 7.16
V (Å³/f.u.): 126.49
ΔE to the lowest computed polymorph (eV/atom): 0.036

Lattice parameters (Å, degrees): 4.6884 6.6989 8.0547 90.00 90.00 90.00
Space group Pmmn (No. 59, origin choice 2)
Asymmetric unit:
Ac1 0.2500 0.2500 0.0769
Pm1 0.2500 0.0134 0.6433
Si1 0.2500 0.7500 0.2233

=====

Entry 11:
This record from the Alexandria database describes an optimized crystal structure of AcPmSi3. The functional is GGA-PBE.

M_tot (μB per atom): 0.00
ρ (g cm⁻³): 6.48
V (Å³/f.u.): 116.90

Lattice parameters (Å, degrees): 4.5856 25.1757 4.0505 90.00 90.00 90.00
Space group Cmcm (No. 63)
Asymmetric unit:
Ac1 0.0000 0.0708 0.2500
Pm1 0.0000 0.2021 0.7500
Si1 0.0000 0.3219 0.7500
Si2 0.0000 0.3784 0.2500
Si3 0.0000 0.4750 0.2500

=====

We obtain ΔE_f (raw) values of -0.147, -0.446, -0.539, -0.467, -0.485, -0.053, -0.449, -0.176, -0.231, -0.185, -0.652 eV/atom for the records listed above, in that order.